No. 1
A geometry-optimized HfCdFePb structure. Source: the Open Quantum Materials Database, functional PBE-GGA.

Summary:
calculated volume = 19.767 Å³ per atom
uncorrected energy = -85.0 eV per cell
total magnetization = 2.0 μB per formula unit
ρ = 11.634 g cm⁻³

```
data_HfCdFePb
_space_group_name_H-M_alt 'F -4 3 m'
_space_group_IT_number 216
_space_group_name_Hall 'F -4 2 3'
_cell_length_a 6.813
_cell_length_b 6.813
_cell_length_c 6.813
_cell_angle_alpha 90.00
_cell_angle_beta 90.00
_cell_angle_gamma 90.00
loop_
_atom_site_label
_atom_site_fract_x
_atom_site_fract_y
_atom_site_fract_z
Hf1 0.000 0.000 0.000
Cd1 0.250 0.250 0.750
Fe1 0.000 0.000 0.500
Pb1 0.250 0.250 0.250
```

No. 2
A geometry-optimized LaTbCd2Au4 structure. Source: the Open Quantum Materials Database, functional PBE-GGA.

Summary:
calculated volume = 22.427 Å³ per atom
uncorrected energy = -29.8 eV per cell
ΔH_f (0 K) = -64.8 kJ/mol of atoms
total magnetization = 0.0 μB per formula unit
ρ = 12.129 g cm⁻³

```
data_LaTbCd2Au4
_space_group_name_H-M_alt 'P 4/m m m'
_space_group_IT_number 123
_space_group_name_Hall '-P 4 2'
_cell_length_a 5.030
_cell_length_b 5.030
_cell_length_c 7.090
_cell_angle_alpha 90.00
_cell_angle_beta 90.00
_cell_angle_gamma 90.00
loop_
_atom_site_label
_atom_site_fract_x
_atom_site_fract_y
_atom_site_fract_z
La1 0.000 0.000 0.000
Tb1 0.500 0.500 0.500
Cd1 0.000 0.000 0.500
Cd2 0.500 0.500 0.000
Au1 0.000 0.500 0.264
```

No. 3
A geometry-optimized AcSmB4 structure. Source: the Open Quantum Materials Database, functional PBE-GGA.

Summary:
calculated volume = 13.902 Å³ per atom
uncorrected energy = -36.5 eV per cell
E above lowest polymorph = 0.0000 eV per atom
total magnetization = 0.0 μB per formula unit
ρ = 8.373 g cm⁻³

```
data_AcSmB4
_space_group_name_H-M_alt 'P 6/m m m'
_space_group_IT_number 191
_space_group_name_Hall '-P 6 2'
_cell_length_a 3.3613
_cell_length_b 3.3613
_cell_length_c 8.5250
_cell_angle_alpha 90.00
_cell_angle_beta 90.00
_cell_angle_gamma 120.00
loop_
_atom_site_label
_atom_site_fract_x
_atom_site_fract_y
_atom_site_fract_z
Ac1 0.0000 0.0000 0.0000
Sm1 0.0000 0.0000 0.5000
B1 0.3333 0.6667 0.2679
```

No. 4
A geometry-optimized BaLuGe structure. Source: the Open Quantum Materials Database, functional PBE-GGA.

Summary:
calculated volume = 34.016 Å³ per atom
uncorrected energy = -46.8 eV per cell
total magnetization = 0.0 μB per formula unit
ρ = 6.264 g cm⁻³

```
data_BaLuGe
_space_group_name_H-M_alt 'F -4 3 m'
_space_group_IT_number 216
_space_group_name_Hall 'F -4 2 3'
_cell_length_a 7.418
_cell_length_b 7.418
_cell_length_c 7.418
_cell_angle_alpha 90.00
_cell_angle_beta 90.00
_cell_angle_gamma 90.00
loop_
_atom_site_label
_atom_site_fract_x
_atom_site_fract_y
_atom_site_fract_z
Ba1 0.000 0.000 0.000
Lu1 0.000 0.000 0.500
Ge1 0.250 0.250 0.250
```

Which value of total magnetization does entry 2 give?
0.0 μB per formula unit

Which of these has the lowest uncorrected energy?
HfCdFePb

Repeat the second record exactly.
A geometry-optimized LaTbCd2Au4 structure. Source: the Open Quantum Materials Database, functional PBE-GGA.

Summary:
calculated volume = 22.427 Å³ per atom
uncorrected energy = -29.8 eV per cell
ΔH_f (0 K) = -64.8 kJ/mol of atoms
total magnetization = 0.0 μB per formula unit
ρ = 12.129 g cm⁻³

```
data_LaTbCd2Au4
_space_group_name_H-M_alt 'P 4/m m m'
_space_group_IT_number 123
_space_group_name_Hall '-P 4 2'
_cell_length_a 5.030
_cell_length_b 5.030
_cell_length_c 7.090
_cell_angle_alpha 90.00
_cell_angle_beta 90.00
_cell_angle_gamma 90.00
loop_
_atom_site_label
_atom_site_fract_x
_atom_site_fract_y
_atom_site_fract_z
La1 0.000 0.000 0.000
Tb1 0.500 0.500 0.500
Cd1 0.000 0.000 0.500
Cd2 0.500 0.500 0.000
Au1 0.000 0.500 0.264
```

Number 4 is which compound?
BaLuGe